No. 1
Material: Mn2Ni2Pt
Method: DFT, PBE
State: relaxed

Summary:
As for the space-group type: P4/mbm, No. 127. The value obtained for the density of states at the Fermi level is 31.85 states/eV per cell. The energy relative to the lowest polymorph listed for this composition comes out at 3 meV/atom. For the raw total energy, the calculation gives -6.998 eV/atom.

a b c (Å): 6.7643 6.7643 2.6086
angles (deg): 90.00 90.00 90.00
Closest atoms and distances in Å follow each position.
Sites, in units of the cell vectors:
Ni1 0.3772 0.8772 0.0000  6 Mn 2.35-2.41, 3 Ni 2.35-2.61
Ni2 0.8772 0.6228 0.0000  6 Mn 2.35-2.41, 3 Ni 2.35-2.61
Ni3 0.6228 0.1228 0.0000  6 Mn 2.35-2.41, 3 Ni 2.35-2.61
Ni4 0.1228 0.3772 0.0000  6 Mn 2.35-2.41, 3 Ni 2.35-2.61
Mn1 0.1731 0.6731 0.5000  6 Ni 2.35-2.41, 2 Mn 2.61
Mn2 0.6731 0.8269 0.5000  6 Ni 2.35-2.41, 2 Mn 2.61
Mn3 0.8269 0.3269 0.5000  6 Ni 2.35-2.41, 2 Mn 2.61
Mn4 0.3269 0.1731 0.5000  6 Ni 2.35-2.41, 2 Mn 2.61
Pt1 0.0000 0.0000 0.0000  2 Pt 2.61, 4 Ni 2.68, 8 Mn 2.82
Pt2 0.5000 0.5000 0.0000  2 Pt 2.61, 4 Ni 2.68, 8 Mn 2.82

No. 2
Material: MgMn2Se
Method: DFT, PBE
State: relaxed

Summary:
As for the space-group type: R-3m, No. 166. The value obtained for the density of states at the Fermi level is 2.45 states/eV per cell. The energy relative to the lowest polymorph listed for this composition comes out at 160 meV/atom. For the raw total energy, the calculation gives -5.675 eV/atom. The calculation puts the energy relative to the elements, uncorrected at 180 meV per atom.

a b c (Å): 8.2482 8.2482 8.2482
angles (deg): 22.60 22.60 22.60
Closest atoms and distances in Å follow each position.
Sites, in units of the cell vectors:
Mg1 0.7500 0.7500 0.7500  6 Mn 2.92, 6 Mg 3.23
Mn1 0.9901 0.9901 0.9901  3 Se 2.57
Mn2 0.5099 0.5099 0.5099  3 Se 2.57
Se1 0.2500 0.2500 0.2500  6 Mn 2.57